Here is a relaxed HfSb2Pd4 crystal from the Alexandria database. Energies are from PBE-GGA.

```
7
Lattice="4.996 0.000 0.000 0.000 4.996 0.000 2.498 2.498 6.743" Properties=species:S:1:pos:R:3 pbc="T T T"
Sb 4.996 4.996 5.178
Sb 2.498 2.498 1.565
Hf 0.000 0.000 0.000
Pd 4.996 4.996 2.481
Pd 2.498 2.498 4.262
Pd 0.000 2.498 0.000
Pd 2.498 0.000 0.000
```

Summary:
Magnetization in μB per atom: 0.0000
Distance to the lowest polymorph of the same formula in kJ/mol of formula units: 450
E_form (uncorrected) in eV/atom: 0.194